{
  "formula": "AlFeSi2H",
  "functional": "PBE",
  "state": "relaxed",
  "e_tot_ev_per_cell": -24.862,
  "lattice_angstrom": [[4.0210, 0.0000, 0.0000], [0.0000, 4.0210, 0.0000], [0.0000, 0.0000, 3.3943]],
  "species": ["Al", "Fe", "Si", "Si", "H"],
  "frac_coords": [[0.0000, 0.0000, 0.0000], [0.5000, 0.5000, 0.0000], [0.0000, 0.5000, 0.5000], [0.5000, 0.0000, 0.5000], [0.5000, 0.5000, 0.5000]]
}



{
  "formula": "Ta2AlFeH",
  "functional": "PBE",
  "state": "relaxed",
  "e_tot_ev_per_cell": -39.867,
  "lattice_angstrom": [[4.1066, 0.0000, 0.0000], [0.0000, 4.1066, 0.0000], [0.0000, 0.0000, 3.8429]],
  "species": ["Ta", "Ta", "Al", "Fe", "H"],
  "frac_coords": [[0.0000, 0.5000, 0.0000], [0.5000, 0.0000, 0.0000], [0.0000, 0.0000, 0.5000], [0.5000, 0.5000, 0.5000], [0.5000, 0.5000, 0.0000]]
}



{
  "formula": "Al2FeTcH",
  "functional": "PBE",
  "state": "relaxed",
  "de_polymorph_kj_per_mol_atoms": 0.00,
  "lattice_angstrom": [[4.1660, 0.0000, 0.0000], [0.0000, 4.1660, 0.0000], [0.0000, 0.0000, 3.2056]],
  "species": ["Al", "Al", "Fe", "Tc", "H"],
  "frac_coords": [[0.0000, 0.5000, 0.0000], [0.5000, 0.0000, 0.0000], [0.0000, 0.0000, 0.5000], [0.5000, 0.5000, 0.5000], [0.0000, 0.0000, 0.0000]]
}



{
  "formula": "AlFeTc2H",
  "functional": "PBE",
  "state": "relaxed",
  "e_tot_ev_per_cell": -36.442,
  "lattice_angstrom": [[4.1085, 0.0000, 0.0000], [0.0000, 4.1085, 0.0000], [0.0000, 0.0000, 3.3929]],
  "species": ["Al", "Fe", "Tc", "Tc", "H"],
  "frac_coords": [[0.0000, 0.0000, 0.0000], [0.5000, 0.5000, 0.0000], [0.0000, 0.5000, 0.5000], [0.5000, 0.0000, 0.5000], [0.5000, 0.5000, 0.5000]]
}



{
  "formula": "Al2FeTcH",
  "functional": "PBE",
  "state": "relaxed",
  "de_polymorph_kj_per_mol_atoms": 10.68,
  "lattice_angstrom": [[4.1272, 0.0000, 0.0000], [0.0000, 4.1272, 0.0000], [0.0000, 0.0000, 3.3752]],
  "species": ["Al", "Al", "Fe", "Tc", "H"],
  "frac_coords": [[0.0000, 0.5000, 0.0000], [0.5000, 0.0000, 0.0000], [0.0000, 0.0000, 0.5000], [0.5000, 0.5000, 0.5000], [0.5000, 0.5000, 0.0000]]
}



{
  "formula": "TiAlFe2H",
  "functional": "PBE",
  "state": "relaxed",
  "e_tot_ev_per_cell": -33.132,
  "lattice_angstrom": [[3.8314, 0.0000, 0.0000], [0.0000, 3.8314, 0.0000], [0.0000, 0.0000, 3.6010]],
  "species": ["Ti", "Al", "Fe", "Fe", "H"],
  "frac_coords": [[0.0000, 0.0000, 0.0000], [0.5000, 0.5000, 0.0000], [0.0000, 0.5000, 0.5000], [0.5000, 0.0000, 0.5000], [0.0000, 0.0000, 0.5000]]
}



{
  "formula": "TmAlFe2H6",
  "functional": "PBE",
  "state": "relaxed",
  "e_tot_ev_per_cell": -47.888,
  "lattice_angstrom": [[2.0959, 1.2101, 5.0786], [-2.0959, 1.2101, 5.0786], [0.0000, -2.4201, 5.0786]],
  "species": ["Tm", "Al", "Fe", "Fe", "H", "H", "H", "H", "H", "H"],
  "frac_coords": [[0.0000, 0.0000, 0.0000], [0.5000, 0.5000, 0.5000], [0.2030, 0.2030, 0.2030], [0.7970, 0.7970, 0.7970], [0.0524, 0.5678, 0.5678], [0.4322, 0.4322, 0.9476], [0.4322, 0.9476, 0.4322], [0.5678, 0.0524, 0.5678], [0.5678, 0.5678, 0.0524], [0.9476, 0.4322, 0.4322]]
}



{
  "formula": "UAlFe2H6",
  "functional": "PBE",
  "state": "relaxed",
  "e_tot_ev_per_cell": -53.946,
  "lattice_angstrom": [[2.1116, 1.2191, 4.9392], [-2.1116, 1.2191, 4.9392], [0.0000, -2.4383, 4.9392]],
  "species": ["U", "Al", "Fe", "Fe", "H", "H", "H", "H", "H", "H"],
  "frac_coords": [[0.0000, 0.0000, 0.0000], [0.5000, 0.5000, 0.5000], [0.2111, 0.2111, 0.2111], [0.7889, 0.7889, 0.7889], [0.0730, 0.5538, 0.5538], [0.4462, 0.4462, 0.9270], [0.4462, 0.9270, 0.4462], [0.5538, 0.0730, 0.5538], [0.5538, 0.5538, 0.0730], [0.9270, 0.4462, 0.4462]]
}



{
  "formula": "AlVFe2H",
  "functional": "PBE",
  "state": "relaxed",
  "e_tot_ev_per_cell": -33.746,
  "lattice_angstrom": [[3.7581, 0.0000, 0.0000], [0.0000, 3.7581, 0.0000], [0.0000, 0.0000, 3.5375]],
  "species": ["Al", "V", "Fe", "Fe", "H"],
  "frac_coords": [[0.0000, 0.0000, 0.0000], [0.5000, 0.5000, 0.0000], [0.0000, 0.5000, 0.5000], [0.5000, 0.0000, 0.5000], [0.5000, 0.5000, 0.5000]]
}



{
  "formula": "AlV2FeH",
  "functional": "PBE",
  "state": "relaxed",
  "e_tot_ev_per_cell": -34.587,
  "lattice_angstrom": [[3.7766, 0.0000, 0.0000], [0.0000, 3.7766, 0.0000], [0.0000, 0.0000, 3.7408]],
  "species": ["Al", "V", "V", "Fe", "H"],
  "frac_coords": [[0.0000, 0.0000, 0.0000], [0.0000, 0.5000, 0.5000], [0.5000, 0.0000, 0.5000], [0.5000, 0.5000, 0.0000], [0.5000, 0.5000, 0.5000]]
}



{
  "formula": "AlFe2HW",
  "functional": "PBE",
  "state": "relaxed",
  "e_tot_ev_per_cell": -36.709,
  "lattice_angstrom": [[3.7242, 0.0000, 0.0000], [0.0000, 3.7242, 0.0000], [0.0000, 0.0000, 4.0120]],
  "species": ["Al", "Fe", "Fe", "H", "W"],
  "frac_coords": [[0.0000, 0.0000, 0.0000], [0.0000, 0.5000, 0.5000], [0.5000, 0.0000, 0.5000], [0.5000, 0.5000, 0.5000], [0.5000, 0.5000, 0.0000]]
}



{
  "formula": "YAlFeH2",
  "functional": "PBE",
  "state": "relaxed",
  "e_tot_ev_per_cell": -23.763,
  "lattice_angstrom": [[3.7817, 0.0000, 0.0000], [0.0000, 3.7817, 0.0000], [0.0000, 0.0000, 4.8338]],
  "species": ["Y", "Al", "Fe", "H", "H"],
  "frac_coords": [[0.0000, 0.0000, 0.0000], [0.5000, 0.5000, 0.5000], [0.5000, 0.5000, 0.0000], [0.0000, 0.5000, 0.5000], [0.5000, 0.0000, 0.5000]]
}